Compound: Nd4Tl5Rh2
Source: Alexandria via LeMat-Bulk
Functional: PBE
Structure: optimized geometry

Cell lengths 8.0371, 3.7912, 9.8149 Å; angles 90.00, 93.92, 90.00 degrees
Closest atoms and distances in Å follow each position.
Fractional coordinates of all 11 atoms:
Nd 0.1864 0.0000 0.3422  2 Rh 2.86
Nd 0.2142 0.0000 0.9327  4 Rh 3.01-3.06
Nd 0.7858 0.0000 0.0673  4 Rh 3.01-3.06
Nd 0.8136 0.0000 0.6578  2 Rh 2.86
Tl 0.1563 0.5000 0.6405  1 Rh 2.99, 1 Tl 3.17
Tl 0.4536 0.5000 0.1648  1 Rh 3.01, 1 Tl 3.29
Tl 0.5000 0.5000 0.5000  4 Tl 3.17-3.29, 4 Nd 3.44
Tl 0.5464 0.5000 0.8352  1 Rh 3.01, 1 Tl 3.29
Tl 0.8437 0.5000 0.3595  1 Rh 2.99, 1 Tl 3.17
Rh 0.0786 0.5000 0.1360  6 Nd 2.86-3.06, 1 Rh 2.88, 2 Tl 2.99-3.01
Rh 0.9214 0.5000 0.8640  6 Nd 2.86-3.06, 1 Rh 2.88, 2 Tl 2.99-3.01

## Properties
Final energy in eV for the cell shown: -50.69
SG: P2/m (10)
V in Å³ per cell: 298.4
Energy relative to the elements in eV per formula unit: -5.1